8
Lattice="4.413 -4.415 0.000 4.413 4.415 0.000 0.000 0.000 4.176" Properties=species:S:1:pos:R:3 comment="DyErCu2S4 (GGA-PBE, relaxed)" e_tot_ev_per_atom=-5.48 volume_a3_per_atom=20.342 rho_g_cm3=5.97 magmom_total_mub_per_cell=0.0 pbc="T T T"
Dy 0.000 0.000 0.000
Er 4.413 0.000 1.978
Cu 2.207 2.208 3.079
Cu 2.207 -2.208 3.079
S 1.773 0.000 2.107
S 4.413 1.751 4.045
S 4.413 -1.751 4.045
S 7.053 0.000 2.107